Below is a geometry-optimized Ac2BeNiO6 structure, with properties calculated at the PBE with a Hubbard U level. Values from VASP.

```
&SYSTEM
  ibrav = 0, nat = 20, ntyp = 4
/
ATOMIC_SPECIES
Ac 227.00 Ac.upf
Be 9.01 Be.upf
Ni 58.69 Ni.upf
O 16.00 O.upf
ATOMIC_POSITIONS angstrom
Ac 0.000 0.000 3.336
Ac 0.000 0.000 7.854
Ac 0.000 0.000 19.113
Ac 0.000 0.000 23.631
Be 0.000 0.000 0.000
Be 0.000 0.000 13.483
Ni 0.000 0.000 11.152
Ni 0.000 0.000 15.815
O -1.267 -0.731 12.322
O 0.000 -1.587 10.093
O -1.375 0.794 10.093
O -1.375 -0.794 16.874
O 0.000 -1.463 14.645
O -1.267 0.731 14.645
O 1.267 -0.731 12.322
O 0.000 1.463 12.322
O 1.375 0.794 10.093
O 1.375 -0.794 16.874
O 0.000 1.587 16.874
O 1.267 0.731 14.645
CELL_PARAMETERS angstrom
2.716 1.568 8.989
-2.716 1.568 8.989
0.000 -3.136 8.989
```

## Properties
crystal system = trigonal
VASP energy = -6.74 eV/atom